Record 1
DFT (GGA-PBE) results for a geometry-optimized ZnTeRu structure. Values from VASP.

Properties
* ΔE to the lowest computed polymorph: 0.15 eV/f.u.
* uncorrected formation energy: 0.36 eV/f.u.
* SG: P3m1, No. 156

Quantum ESPRESSO input file:
```
&SYSTEM
  ibrav = 0, nat = 3, ntyp = 3
/
ATOMIC_SPECIES
Zn 65.41 Zn.upf
Te 127.60 Te.upf
Ru 101.07 Ru.upf
CELL_PARAMETERS angstrom
3.392 0.000 0.000
-1.696 2.938 0.000
0.000 0.000 6.152
ATOMIC_POSITIONS crystal
Zn 0.000 0.000 0.000
Te 0.333 0.667 0.560
Ru 0.667 0.333 0.288
```

---

Record 2
DFT (GGA-PBE) results for a geometry-optimized Y5Se2S5 structure. Values from VASP.

Properties
* uncorrected formation energy: -24.04 eV/f.u.
* SG: C2/m, No. 12

Quantum ESPRESSO input file:
```
&SYSTEM
  ibrav = 0, nat = 12, ntyp = 3
/
ATOMIC_SPECIES
Y 88.91 Y.upf
Se 78.96 Se.upf
S 32.06 S.upf
CELL_PARAMETERS angstrom
6.512 -1.918 0.000
6.512 1.918 0.000
-2.778 0.000 11.549
ATOMIC_POSITIONS crystal
Y 0.000 0.000 0.000
Y 0.115 0.115 0.429
Y 0.290 0.290 0.184
Y 0.710 0.710 0.816
Y 0.885 0.885 0.571
Se 0.042 0.042 0.781
Se 0.958 0.958 0.219
S 0.262 0.262 0.647
S 0.343 0.343 0.950
S 0.500 0.500 0.500
S 0.657 0.657 0.050
S 0.738 0.738 0.353
```

---

Record 3
DFT (GGA-PBE) results for a geometry-optimized LiGeB structure. Values from VASP.

Properties
* formation energy: 1.0 eV per formula unit
* SG: R-3m, No. 166

Quantum ESPRESSO input file:
```
&SYSTEM
  ibrav = 0, nat = 6, ntyp = 3
/
ATOMIC_SPECIES
Li 6.94 Li.upf
Ge 72.64 Ge.upf
B 10.81 B.upf
CELL_PARAMETERS angstrom
1.527 0.882 11.145
-1.527 0.882 11.145
0.000 -1.764 11.145
ATOMIC_POSITIONS crystal
Li 0.131 0.131 0.131
Li 0.869 0.869 0.869
Ge 0.054 0.054 0.054
Ge 0.946 0.946 0.946
B 0.333 0.333 0.333
B 0.667 0.667 0.667
```

---

Record 4
DFT (GGA-PBE) results for a geometry-optimized LiTm4In3 structure. Values from VASP.

Properties
* formation energy: -2.8 eV per formula unit
* SG: I4/mmm, No. 139

Quantum ESPRESSO input file:
```
&SYSTEM
  ibrav = 0, nat = 8, ntyp = 3
/
ATOMIC_SPECIES
Li 6.94 Li.upf
Tm 168.93 Tm.upf
In 114.82 In.upf
CELL_PARAMETERS angstrom
-2.552 2.552 7.752
2.552 -2.552 7.752
2.552 2.552 -7.752
ATOMIC_POSITIONS crystal
Li 0.000 0.000 0.000
Tm 0.125 0.625 0.500
Tm 0.375 0.875 0.500
Tm 0.625 0.125 0.500
Tm 0.875 0.375 0.500
In 0.246 0.246 0.000
In 0.500 0.500 0.000
In 0.754 0.754 0.000
```

---

So what do the calculations give for calculated density? Going down the list: 7.97; 4.39; 3.33; 8.44 g/cm3.
So what do the calculations give for calculated total energy? Going down the list: -13.33; -83.97; -24.40; -30.84 eV/cell.
So what do the calculations give for total magnetic moment? Going down the list: 0.000; 0.000; 0.000; 0.000 μB/atom.